! Cs3AcI6, relaxed, DFT GGA-PBE; values from VASP
! Raw formation energy: -1.58 eV/atom
! Symmetry: R-3, No. 148
! Calculated volume: 1302.16 Å³/cell
&SYSTEM
  ibrav = 0, nat = 20, ntyp = 3
/
ATOMIC_SPECIES
Cs 132.91 Cs.upf
Ac 227.00 Ac.upf
I 126.90 I.upf
CELL_PARAMETERS angstrom
10.843 0.838 -1.026
-1.203 10.808 -1.026
0.694 0.838 10.869
ATOMIC_POSITIONS angstrom
Cs 0.321 6.456 2.054
Cs 3.018 1.522 5.880
Cs 4.380 9.236 8.823
Cs 5.954 3.249 -0.006
Cs 7.316 10.963 2.936
Cs 10.012 6.029 6.762
Ac 0.000 0.000 0.000
Ac 5.167 6.242 4.408
I 0.484 8.571 9.243
I -0.106 10.407 2.047
I 2.165 5.276 5.299
I 3.634 1.841 9.794
I 4.141 6.461 1.303
I 4.349 9.373 4.932
I 5.985 3.112 3.884
I 6.193 6.024 7.513
I 6.700 10.644 -0.977
I 8.169 7.209 3.518
I 10.440 2.078 6.770
I 9.849 3.914 -0.427